No. 1
A plane-wave DFT calculation with PBE was carried out for crystalline GeH4I3 at its relaxed geometry.

CIF file:
```
data_GeH4I3
_chemical_formula_sum 'Ge2 H8 I6'
_cell_length_a 8.724
_cell_length_b 11.073
_cell_length_c 4.873
_cell_angle_alpha 90.00
_cell_angle_beta 90.00
_cell_angle_gamma 90.00
_space_group_name_H-M_alt 'I m m 2'
_space_group_IT_number 44
loop_
_space_group_symop_operation_xyz
'x,y,z'
'-x,-y,z'
'-x,y,z'
'x,-y,z'
'x+1/2,y+1/2,z+1/2'
'-x+1/2,-y+1/2,z+1/2'
'-x+1/2,y+1/2,z+1/2'
'x+1/2,-y+1/2,z+1/2'
loop_
_atom_site_label
_atom_site_type_symbol
_atom_site_fract_x
_atom_site_fract_y
_atom_site_fract_z
Ge1 Ge 0.000 0.000 0.000
H1 H 0.000 0.113 0.816
H2 H 0.144 0.000 0.181
I1 I 0.000 0.325 0.425
I2 I 0.000 0.500 0.934
```

Calculated values
calculated total energy: -2.683 eV/atom
crystal system: orthorhombic



No. 2
A plane-wave DFT calculation with PBE was carried out for crystalline Ge2H4I3 at its relaxed geometry.

CIF file:
```
data_Ge2H4I3
_chemical_formula_sum 'Ge8 H16 I12'
_cell_length_a 14.782
_cell_length_b 10.313
_cell_length_c 6.458
_cell_angle_alpha 90.00
_cell_angle_beta 102.36
_cell_angle_gamma 90.00
_space_group_name_H-M_alt 'C 1 2/c 1'
_space_group_IT_number 15
loop_
_space_group_symop_operation_xyz
'x,y,z'
'-x,-y,-z'
'-x,y,-z+1/2'
'x,-y,z+1/2'
'x+1/2,y+1/2,z'
'-x+1/2,-y+1/2,-z'
'-x+1/2,y+1/2,-z+1/2'
'x+1/2,-y+1/2,z+1/2'
loop_
_atom_site_label
_atom_site_type_symbol
_atom_site_fract_x
_atom_site_fract_y
_atom_site_fract_z
Ge1 Ge 0.249 0.011 0.373
H1 H 0.202 0.354 0.603
H2 H 0.203 0.000 0.100
I1 I 0.000 0.003 0.250
I2 I 0.117 0.347 0.063
```

Calculated values
calculated total energy: -2.914 eV/atom
crystal system: monoclinic



No. 3
A plane-wave DFT calculation with PBE was carried out for crystalline GeH4I at its relaxed geometry.

CIF file:
```
data_GeH4I
_chemical_formula_sum 'Ge4 H16 I4'
_cell_length_a 5.050
_cell_length_b 16.752
_cell_length_c 4.305
_cell_angle_alpha 90.00
_cell_angle_beta 90.00
_cell_angle_gamma 90.00
_space_group_name_H-M_alt 'I m m a'
_space_group_IT_number 74
_space_group_name_Hall '-I 2b 2'
loop_
_atom_site_label
_atom_site_type_symbol
_atom_site_fract_x
_atom_site_fract_y
_atom_site_fract_z
Ge1 Ge 0.000 0.000 0.000
H1 H 0.000 0.083 0.164
H2 H 0.250 0.035 0.750
I1 I 0.000 0.250 0.504
```

Calculated values
calculated total energy: -2.940 eV/atom
crystal system: orthorhombic



No. 4
A plane-wave DFT calculation with PBE was carried out for crystalline Ge2HI at its relaxed geometry.

CIF file:
```
data_Ge2HI
_chemical_formula_sum 'Ge8 H4 I4'
_cell_length_a 5.330
_cell_length_b 5.330
_cell_length_c 13.143
_cell_angle_alpha 90.00
_cell_angle_beta 90.00
_cell_angle_gamma 90.00
_space_group_name_H-M_alt 'I -4 2 d'
_space_group_IT_number 122
_space_group_name_Hall 'I -4 2bw'
loop_
_atom_site_label
_atom_site_type_symbol
_atom_site_fract_x
_atom_site_fract_y
_atom_site_fract_z
Ge1 Ge 0.060 0.250 0.125
H1 H 0.000 0.000 0.000
I1 I 0.000 0.000 0.500
```

Calculated values
calculated total energy: -3.038 eV/atom
ΔE to the lowest computed polymorph: 0.000 eV/atom
crystal system: tetragonal



No. 5
A plane-wave DFT calculation with PBE was carried out for crystalline Ge3HI at its relaxed geometry.

CIF file:
```
data_Ge3HI
_chemical_formula_sum 'Ge3 H1 I1'
_cell_length_a 4.609
_cell_length_b 4.609
_cell_length_c 4.609
_cell_angle_alpha 90.00
_cell_angle_beta 90.00
_cell_angle_gamma 90.00
_space_group_name_H-M_alt 'P m -3 m'
_space_group_IT_number 221
_space_group_name_Hall '-P 4 2 3'
loop_
_atom_site_label
_atom_site_type_symbol
_atom_site_fract_x
_atom_site_fract_y
_atom_site_fract_z
Ge1 Ge 0.000 0.000 0.500
H1 H 0.000 0.000 0.000
I1 I 0.500 0.500 0.500
```

Calculated values
calculated total energy: -3.060 eV/atom
ΔE to the lowest computed polymorph: 0.000 eV/atom
crystal system: cubic



No. 6
A plane-wave DFT calculation with PBE was carried out for crystalline GeH5I2 at its relaxed geometry.

CIF file:
```
data_GeH5I2
_chemical_formula_sum 'Ge2 H10 I4'
_cell_length_a 14.556
_cell_length_b 5.056
_cell_length_c 5.250
_cell_angle_alpha 90.00
_cell_angle_beta 103.48
_cell_angle_gamma 90.00
_space_group_name_H-M_alt 'C 1 m 1'
_space_group_IT_number 8
loop_
_space_group_symop_operation_xyz
'x,y,z'
'x,-y,z'
'x+1/2,y+1/2,z'
'x+1/2,-y+1/2,z'
loop_
_atom_site_label
_atom_site_type_symbol
_atom_site_fract_x
_atom_site_fract_y
_atom_site_fract_z
Ge1 Ge 0.000 0.000 0.000
H1 H 0.018 0.000 0.726
H2 H 0.352 0.426 0.417
H3 H 0.454 0.247 0.073
I1 I 0.167 0.000 0.308
I2 I 0.176 0.500 0.809
```

Calculated values
calculated total energy: -2.974 eV/atom
crystal system: monoclinic